Entry 1:
LaY2Th: relaxed, PBE.

Summary:
calculated density: 6.86 g/cm3
energy of formation: 0.02 eV per atom
space group: No. 166
energy above the lowest structure with this stoichiometry: 0.000 eV/f.u.
uncorrected energy: -6.30 eV per atom

The structure in POSCAR format:
```
LaY2Th
1.0
1.813 1.047 11.669
-1.813 1.047 11.669
0.000 -2.094 11.669
La Y Th
1 2 1
direct
0.000 0.000 0.000 La
0.247 0.247 0.247 Y
0.753 0.753 0.753 Y
0.500 0.500 0.500 Th
```

Entry 2:
La2Y15Th2: relaxed, PBE.

Summary:
calculated density: 5.20 g/cm3
energy of formation: 0.28 eV per atom
space group: No. 166
uncorrected energy: -6.12 eV per atom

The structure in POSCAR format:
```
La2Y15Th2
1.0
5.667 3.272 5.956
-5.667 3.272 5.956
0.000 -6.544 5.956
La Y Th
2 15 2
direct
0.174 0.174 0.174 La
0.826 0.826 0.826 La
0.000 0.500 0.500 Y
0.136 0.136 0.646 Y
0.136 0.646 0.136 Y
0.202 0.500 0.798 Y
0.202 0.798 0.500 Y
0.354 0.864 0.864 Y
0.500 0.000 0.500 Y
0.500 0.202 0.798 Y
0.500 0.500 0.000 Y
0.500 0.798 0.202 Y
0.646 0.136 0.136 Y
0.798 0.202 0.500 Y
0.798 0.500 0.202 Y
0.864 0.354 0.864 Y
0.864 0.864 0.354 Y
0.414 0.414 0.414 Th
0.586 0.586 0.586 Th
```

Entry 3:
LaY6Th3: relaxed, PBE.

Summary:
calculated density: 6.83 g/cm3
energy of formation: 0.11 eV per atom
space group: No. 11
uncorrected energy: -6.49 eV per atom

The structure in POSCAR format:
```
LaY6Th3
1.0
13.284 0.000 0.000
0.000 3.519 0.000
-1.841 0.000 14.241
La Y Th
2 12 6
direct
0.182 0.250 0.395 La
0.818 0.750 0.605 La
0.076 0.750 0.605 Y
0.128 0.250 0.020 Y
0.245 0.250 0.795 Y
0.276 0.750 0.202 Y
0.378 0.750 0.001 Y
0.441 0.750 0.401 Y
0.559 0.250 0.599 Y
0.622 0.250 0.999 Y
0.724 0.250 0.798 Y
0.755 0.750 0.205 Y
0.872 0.750 0.980 Y
0.924 0.250 0.395 Y
0.018 0.750 0.206 Th
0.326 0.750 0.602 Th
0.493 0.750 0.800 Th
0.507 0.250 0.200 Th
0.674 0.250 0.398 Th
0.982 0.250 0.794 Th
```

Entry 4:
LaY9Th2: relaxed, PBE.

Summary:
calculated density: 5.94 g/cm3
energy of formation: 0.04 eV per atom
space group: No. 123
uncorrected energy: -6.46 eV per atom

The structure in POSCAR format:
```
LaY9Th2
1.0
5.069 0.000 0.000
0.000 5.069 0.000
0.000 0.000 15.266
La Y Th
1 9 2
direct
0.000 0.000 0.000 La
0.000 0.500 0.172 Y
0.000 0.500 0.500 Y
0.000 0.500 0.828 Y
0.500 0.000 0.172 Y
0.500 0.000 0.500 Y
0.500 0.000 0.828 Y
0.500 0.500 0.000 Y
0.500 0.500 0.335 Y
0.500 0.500 0.665 Y
0.000 0.000 0.334 Th
0.000 0.000 0.666 Th
```

Entry 5:
LaY2Th6: relaxed, PBE.

Summary:
calculated density: 9.56 g/cm3
energy of formation: 0.09 eV per atom
space group: No. 187
uncorrected energy: -6.84 eV per atom

The structure in POSCAR format:
```
LaY2Th6
1.0
3.551 0.000 0.000
-1.775 3.075 0.000
0.000 0.000 27.174
La Y Th
1 2 6
direct
0.000 0.000 0.000 La
0.667 0.333 0.331 Y
0.667 0.333 0.669 Y
0.000 0.000 0.222 Th
0.000 0.000 0.439 Th
0.000 0.000 0.561 Th
0.000 0.000 0.778 Th
0.667 0.333 0.114 Th
0.667 0.333 0.886 Th
```

Entry 6:
La4Y8Th: relaxed, PBE.

Summary:
calculated density: 5.09 g/cm3
energy of formation: 0.53 eV per atom
space group: No. 166
uncorrected energy: -5.54 eV per atom

The structure in POSCAR format:
```
La4Y8Th
1.0
5.578 3.220 4.541
-5.578 3.220 4.541
0.000 -6.441 4.541
La Y Th
4 8 1
direct
0.000 0.000 0.000 La
0.000 0.500 0.500 La
0.500 0.000 0.500 La
0.500 0.500 0.000 La
0.242 0.242 0.242 Y
0.242 0.242 0.757 Y
0.242 0.757 0.242 Y
0.243 0.758 0.758 Y
0.757 0.242 0.242 Y
0.758 0.243 0.758 Y
0.758 0.758 0.243 Y
0.758 0.758 0.758 Y
0.500 0.500 0.500 Th
```

Repeat the fifth record exactly.
LaY2Th6: relaxed, PBE.

Summary:
calculated density: 9.56 g/cm3
energy of formation: 0.09 eV per atom
space group: No. 187
uncorrected energy: -6.84 eV per atom

The structure in POSCAR format:
```
LaY2Th6
1.0
3.551 0.000 0.000
-1.775 3.075 0.000
0.000 0.000 27.174
La Y Th
1 2 6
direct
0.000 0.000 0.000 La
0.667 0.333 0.331 Y
0.667 0.333 0.669 Y
0.000 0.000 0.222 Th
0.000 0.000 0.439 Th
0.000 0.000 0.561 Th
0.000 0.000 0.778 Th
0.667 0.333 0.114 Th
0.667 0.333 0.886 Th
```

- calculated density of number 4 (LaY9Th2)?
  5.94 g/cm3

- energy of formation of number 4 (LaY9Th2)?
  0.04 eV per atom